# SrAgSn2Hg

A relaxed SrAgSn2Hg crystal (PBE-GGA, the Alexandria database).

## Properties
ρ: 7573 kg/m³
E_form: -0.318 eV/atom

Unit cell a=6.9212 b=6.9212 c=6.9212 alpha=139.43 beta=139.43 gamma=58.72
Sites, in units of the cell vectors:
1 Sr 0.0000 0.0000 0.0000
2 Ag 0.2500 0.7500 0.5000
3 Sn 0.3822 0.3822 0.0000
4 Sn 0.6178 0.6178 0.0000
5 Hg 0.7500 0.2500 0.5000

# SrAgSnHg

A relaxed SrAgSnHg crystal (PBE-GGA, the Alexandria database).

## Properties
ρ: 7527 kg/m³
E_form: -0.357 eV/atom

Unit cell a=4.8476 b=4.8476 c=6.2401 alpha=112.85 beta=112.85 gamma=60.06
Sites, in units of the cell vectors:
1 Sr 0.0000 0.0000 0.0000
2 Ag 0.2076 0.2076 0.6251
3 Sn 0.5304 0.5304 0.5934
4 Hg 0.7716 0.7716 0.3145

Copy entry 1 word for word.
# SrAgSn2Hg

A relaxed SrAgSn2Hg crystal (PBE-GGA, the Alexandria database).

## Properties
ρ: 7573 kg/m³
E_form: -0.318 eV/atom

Unit cell a=6.9212 b=6.9212 c=6.9212 alpha=139.43 beta=139.43 gamma=58.72
Sites, in units of the cell vectors:
1 Sr 0.0000 0.0000 0.0000
2 Ag 0.2500 0.7500 0.5000
3 Sn 0.3822 0.3822 0.0000
4 Sn 0.6178 0.6178 0.0000
5 Hg 0.7500 0.2500 0.5000

Copy entry 1 word for word.
# SrAgSn2Hg

A relaxed SrAgSn2Hg crystal (PBE-GGA, the Alexandria database).

## Properties
ρ: 7573 kg/m³
E_form: -0.318 eV/atom

Unit cell a=6.9212 b=6.9212 c=6.9212 alpha=139.43 beta=139.43 gamma=58.72
Sites, in units of the cell vectors:
1 Sr 0.0000 0.0000 0.0000
2 Ag 0.2500 0.7500 0.5000
3 Sn 0.3822 0.3822 0.0000
4 Sn 0.6178 0.6178 0.0000
5 Hg 0.7500 0.2500 0.5000

Which value of ρ does entry 1 give?
7573 kg/m³